Record 1
Density functional theory data (GGA-PBE) for a relaxed SrTiTcP2 crystal. Values from VASP.

For the density of states at the Fermi level, the calculation gives 2.88 states/eV/f.u. As for the formation enthalpy at 0 K: -928 meV/atom. The calculation puts the energy at -7.081 eV/atom.

```
&SYSTEM
  ibrav = 0, nat = 5, ntyp = 4
/
ATOMIC_SPECIES
Sr 87.62 Sr.upf
Ti 47.87 Ti.upf
Tc 98.00 Tc.upf
P 30.97 P.upf
CELL_PARAMETERS angstrom
-1.938 1.938 6.452
1.938 -1.938 6.452
1.938 1.938 -6.452
ATOMIC_POSITIONS crystal
Sr 0.000 0.000 0.000
Ti 0.750 0.250 0.500
Tc 0.250 0.750 0.500
P 0.368 0.368 0.000
P 0.632 0.632 0.000
```



Record 2
Density functional theory data (GGA-PBE) for a relaxed SrV2TcP crystal. Values from VASP.

For the density of states at the Fermi level, the calculation gives 3.35 states/eV/f.u. As for the formation enthalpy at 0 K: 401 meV/atom. The calculation puts the energy at -6.738 eV/atom.

```
&SYSTEM
  ibrav = 0, nat = 5, ntyp = 4
/
ATOMIC_SPECIES
Sr 87.62 Sr.upf
V 50.94 V.upf
Tc 98.00 Tc.upf
P 30.97 P.upf
CELL_PARAMETERS angstrom
4.838 0.000 0.000
0.000 4.838 0.000
0.000 0.000 4.633
ATOMIC_POSITIONS crystal
Sr 0.000 0.000 0.000
V 0.000 0.500 0.500
V 0.500 0.000 0.500
Tc 0.500 0.500 0.500
P 0.500 0.500 0.000
```



Record 3
Density functional theory data (GGA-PBE) for a relaxed SrTcPW2 crystal. Values from VASP.

For the density of states at the Fermi level, the calculation gives 5.71 states/eV/f.u. As for the formation enthalpy at 0 K: 1221 meV/atom. The calculation puts the energy at -7.452 eV/atom.

```
&SYSTEM
  ibrav = 0, nat = 5, ntyp = 4
/
ATOMIC_SPECIES
Sr 87.62 Sr.upf
Tc 98.00 Tc.upf
P 30.97 P.upf
W 183.84 W.upf
CELL_PARAMETERS angstrom
4.933 0.000 0.000
0.000 4.933 0.000
0.000 0.000 4.623
ATOMIC_POSITIONS crystal
Sr 0.000 0.000 0.000
Tc 0.500 0.500 0.500
P 0.500 0.500 0.000
W 0.000 0.500 0.500
W 0.500 0.000 0.500
```



Record 4
Density functional theory data (GGA-PBE) for a relaxed Sr2TeP2 crystal. Values from VASP.

For the density of states at the Fermi level, the calculation gives 1.00 states/eV/f.u. Its excess energy over the best structure of this formula in the dataset is 0.00 kJ per mole of atoms. The calculation puts the energy at -4.369 eV/atom.

```
&SYSTEM
  ibrav = 0, nat = 5, ntyp = 3
/
ATOMIC_SPECIES
Sr 87.62 Sr.upf
Te 127.60 Te.upf
P 30.97 P.upf
CELL_PARAMETERS angstrom
-1.972 1.972 8.718
1.972 -1.972 8.718
1.972 1.972 -8.718
ATOMIC_POSITIONS crystal
Sr 0.112 0.112 0.000
Sr 0.888 0.888 0.000
Te 0.500 0.500 0.000
P 0.250 0.750 0.500
P 0.750 0.250 0.500
```



Record 5
Density functional theory data (GGA-PBE) for a relaxed SrTeP2 crystal. Values from VASP.

For the density of states at the Fermi level, the calculation gives 0.44 states/eV/f.u. The calculation puts the energy at -4.391 eV/atom.

```
&SYSTEM
  ibrav = 0, nat = 4, ntyp = 3
/
ATOMIC_SPECIES
Sr 87.62 Sr.upf
Te 127.60 Te.upf
P 30.97 P.upf
CELL_PARAMETERS angstrom
4.855 0.000 0.000
0.000 4.153 0.000
-1.129 0.000 5.557
ATOMIC_POSITIONS crystal
Sr 0.000 0.000 0.000
Te 0.500 0.000 0.500
P 0.371 0.500 0.820
P 0.629 0.500 0.180
```



Record 6
Density functional theory data (GGA-PBE) for a relaxed Sr2TeP crystal. Values from VASP.

For the density of states at the Fermi level, the calculation gives 2.88 states/eV/f.u. Its excess energy over the best structure of this formula in the dataset is 10.81 kJ per mole of atoms. The calculation puts the energy at -4.031 eV/atom.

```
&SYSTEM
  ibrav = 0, nat = 4, ntyp = 3
/
ATOMIC_SPECIES
Sr 87.62 Sr.upf
Te 127.60 Te.upf
P 30.97 P.upf
CELL_PARAMETERS angstrom
6.311 -2.114 0.000
6.311 2.114 0.000
-0.014 0.000 4.903
ATOMIC_POSITIONS crystal
Sr 0.000 0.000 0.000
Sr 0.743 0.743 0.500
Te 0.269 0.269 0.001
P 0.503 0.503 0.500
```



Record 7
Density functional theory data (GGA-PBE) for a relaxed Sr2TeP crystal. Values from VASP.

For the density of states at the Fermi level, the calculation gives 1.57 states/eV/f.u. Its excess energy over the best structure of this formula in the dataset is 10.58 kJ per mole of atoms. The calculation puts the energy at -4.034 eV/atom.

```
&SYSTEM
  ibrav = 0, nat = 4, ntyp = 3
/
ATOMIC_SPECIES
Sr 87.62 Sr.upf
Te 127.60 Te.upf
P 30.97 P.upf
CELL_PARAMETERS angstrom
-1.852 2.197 8.216
1.852 -2.197 8.216
1.852 2.197 -8.216
ATOMIC_POSITIONS crystal
Sr 0.000 0.000 0.000
Sr 0.722 0.222 0.500
Te 0.390 0.390 0.000
P 0.147 0.647 0.500
```



Record 8
Density functional theory data (GGA-PBE) for a relaxed Sr4TeP crystal. Values from VASP.

For the density of states at the Fermi level, the calculation gives 3.22 states/eV/f.u. The calculation puts the energy at -2.423 eV/atom.

```
&SYSTEM
  ibrav = 0, nat = 6, ntyp = 3
/
ATOMIC_SPECIES
Sr 87.62 Sr.upf
Te 127.60 Te.upf
P 30.97 P.upf
CELL_PARAMETERS angstrom
0.000 4.752 4.752
4.752 0.000 4.752
4.752 4.752 0.000
ATOMIC_POSITIONS crystal
Sr 0.125 0.125 0.125
Sr 0.125 0.125 0.624
Sr 0.125 0.624 0.125
Sr 0.624 0.125 0.125
Te 0.750 0.750 0.750
P 0.500 0.500 0.500
```



Number 1: magnetic moment 0.0 μB per formula unit. Number 2: magnetic moment 4.9 μB per formula unit. Number 3: magnetic moment 2.9 μB per formula unit. Number 4: magnetic moment 0.0 μB per formula unit. Number 5: magnetic moment 0.0 μB per formula unit. Number 6: magnetic moment 0.9 μB per formula unit. Number 7: magnetic moment 0.0 μB per formula unit. Number 8: magnetic moment 0.0 μB per formula unit.